SCAN Zr3GaSe, PBEsol geometry; space group = Pm-3m; calculated total energy = -25.7830 eV per atom; formation energy (no corrections) = -0.0787 eV per atom; DOS(E_F) = 5.3 states/eV per cell
1.0
-0.5267 -0.8663 -4.7886
-0.9264 -4.7107 0.9541
-4.7774 1.0090 0.3430
Ga Se Zr
1 1 3
Direct
0.5000 0.5000 0.5000
0.0000 0.0000 0.0000
0.0000 0.5000 0.0000
0.0000 0.0000 0.5000
0.5000 0.0000 0.0000

---

SCAN BaCrRh2, PBEsol geometry; space group = Fm-3m; energy of formation = 0.46 eV/atom; calculated total energy = -30.9114 eV per atom; DOS(E_F) = 5.7 states/eV per cell
1.0
-0.9029 4.3479 -1.5726
-4.2724 1.0574 -1.6795
-2.8537 2.8429 2.4426
Ba Cr Rh
1 1 2
Direct
0.0000 0.0000 0.0000
0.5000 0.5000 0.5000
0.2500 0.2500 0.2500
0.7500 0.7500 0.7500

---

SCAN Be2TeRu, PBEsol geometry; space group = Pmm2; calculated total energy = -20.0225 eV per atom; formation energy (no corrections) = 0.1736 eV per atom; DOS(E_F) = 1.5 states/eV per cell
1.0
-1.1824 -2.7434 -0.7318
2.9469 -0.7382 -1.9941
2.2909 -2.0947 4.1609
Ru Te Be
1 1 2
Direct
0.6251 0.0000 0.4462
0.1254 0.5000 0.7271
0.1248 0.0000 0.1302
0.6248 0.5000 0.1965

---

The highest calculated total energy belongs to which entry?
Be2TeRu